# 1
DFT (PBE-GGA) results for a geometry-optimized Ce2Ge4Ir5 structure.

a b c (Å): 5.6646 9.7486 14.9528
angles (deg): 90.00 90.00 90.00
Closest atoms and distances in Å follow each position.
Space group Fmmm (No. 69)
Asymmetric unit:
Ce 0.0000 0.0000 0.1251 x8  6 Ge 3.22-3.34, 10 Ir 3.38-3.39
Ge 0.0000 0.1579 0.3700 x16  5 Ir 2.46-2.57
Ir 0.0000 0.0000 0.5000 x4  4 Ge 2.48
Ir 0.2500 0.2500 0.0000 x8  4 Ge 2.57, 4 Ir 2.82-2.83
Ir 0.2500 0.2500 0.2500 x8  4 Ge 2.46

For the calculated density, the calculation gives 12.32 Mg/m³. The value obtained for the total moment is 6.0 μB/cell. As for the energy relative to the elements: -602.7 meV/atom. The density of states at the Fermi level is 48.89 states/eV/cell.


# 2
DFT (PBE-GGA) results for a geometry-optimized Re2SiC structure.

a b c (Å): 5.7618 5.7618 5.7618
angles (deg): 90.00 90.00 90.00
Closest atoms and distances in Å follow each position.
Space group Fm-3m (No. 225)
Asymmetric unit:
Re 0.2500 0.2500 0.2500 x8  4 C 2.49, 4 Si 2.49
Si 0.0000 0.0000 0.0000 x4  8 Re 2.49
C 0.0000 0.0000 0.5000 x4  8 Re 2.49

For the calculated density, the calculation gives 14.32 Mg/m³. The value obtained for the total moment is 0.0 μB/cell. For the energy above the most stable polymorph in this dataset, the calculation gives 0 meV per atom. The density of states at the Fermi level is 8.64 states/eV/cell. The calculation puts the uncorrected formation energy at 317 kJ/mol of formula units.


# 3
DFT (PBE-GGA) results for a geometry-optimized TaCr2Au structure.

a b c (Å): 3.8174 3.8174 8.3654
angles (deg): 90.00 90.00 90.00
Closest atoms and distances in Å follow each position.
Space group I-4m2 (No. 119)
Asymmetric unit:
Ta 0.0000 0.0000 0.0000 x2  8 Cr 2.70-2.83, 4 Au 2.83
Cr 0.0000 0.0000 0.5000 x2  4 Ta 2.70, 4 Cr 2.83, 4 Au 2.83
Cr 0.0000 0.5000 0.2500 x2  4 Au 2.70, 4 Cr 2.83, 4 Ta 2.83
Au 0.0000 0.5000 0.7500 x2  8 Cr 2.70-2.83, 4 Ta 2.83

For the calculated density, the calculation gives 13.13 Mg/m³. The value obtained for the total moment is 6.9 μB/cell. For the energy above the most stable polymorph in this dataset, the calculation gives 145 meV per atom. As for the energy relative to the elements: 224.0 meV/atom. The density of states at the Fermi level is 5.55 states/eV/cell.


# 4
DFT (PBE-GGA) results for a geometry-optimized Ba2PtBr structure.

a b c (Å): 4.5420 4.5420 25.4153
angles (deg): 90.00 90.00 120.00
Closest atoms and distances in Å follow each position.
Space group R3m (No. 160, hexagonal axes)
Asymmetric unit:
Ba 0.0000 0.0000 0.0000 x3  3 Pt 3.17
Ba 0.0000 0.0000 0.1932 x3  3 Pt 3.17
Pt 0.0000 0.0000 0.5965 x3  6 Ba 3.17
Br 0.0000 0.0000 0.7648 x3  6 Ba 3.57-3.62

For the calculated density, the calculation gives 6.03 Mg/m³. The value obtained for the total moment is 0.0 μB/cell. For the energy above the most stable polymorph in this dataset, the calculation gives 19 meV per atom. The density of states at the Fermi level is 8.53 states/eV/cell. The calculation puts the uncorrected formation energy at -485 kJ/mol of formula units.


# 5
DFT (PBE-GGA) results for a geometry-optimized TbPr2In3Te6 structure.

a b c (Å): 7.8156 13.5346 8.5214
angles (deg): 90.00 107.81 90.00
Closest atoms and distances in Å follow each position.
Space group C2/m (No. 12)
Asymmetric unit:
Tb 0.0000 0.0000 0.0000 x2  6 Te 3.13-3.14
Pr 0.0000 0.3337 0.0000 x4  6 Te 3.21-3.22
In 0.0000 0.1689 0.5000 x4  6 Te 3.41-3.46
In 0.0000 0.5000 0.5000 x2  6 Te 3.41-3.47
Te 0.2374 0.1626 0.2248 x8  1 Tb 3.13, 2 Pr 3.21, 3 In 3.41-3.46
Te 0.2491 0.0000 0.7728 x4  1 Tb 3.14, 2 Pr 3.22, 3 In 3.41-3.47

For the calculated density, the calculation gives 6.00 Mg/m³. The value obtained for the total moment is 0.0 μB/cell. The density of states at the Fermi level is 2.14 states/eV/cell. The calculation puts the uncorrected formation energy at -1143 kJ/mol of formula units.


# 6
DFT (PBE-GGA) results for a geometry-optimized AcPm5Nd2 structure.

a b c (Å): 7.3949 14.8067 5.2336
angles (deg): 90.00 90.00 90.00
Closest atoms and distances in Å follow each position.
Space group Pbam (No. 55)
Asymmetric unit:
Ac 0.0000 0.0000 0.0000 x2  8 Pm 3.70-3.74, 4 Nd 3.73
Pm 0.9999 0.2529 0.0000 x4  4 Nd 3.65-3.71, 7 Pm 3.65-3.71, 1 Ac 3.74
Pm 0.0000 0.5000 0.0000 x2  6 Pm 3.66-3.71, 2 Ac 3.70, 4 Nd 3.71
Pm 0.2477 0.3727 0.5000 x4  4 Nd 3.63-3.77, 6 Pm 3.65-3.71, 2 Ac 3.73
Nd 0.2480 0.6275 0.5000 x4  10 Pm 3.63-3.77, 2 Ac 3.73

For the calculated density, the calculation gives 7.19 Mg/m³. The value obtained for the total moment is 0.0 μB/cell. As for the energy relative to the elements: 23.8 meV/atom. The density of states at the Fermi level is 26.02 states/eV/cell.


# 7
DFT (PBE-GGA) results for a geometry-optimized PrDyHoTh2 structure.

a b c (Å): 6.6905 15.8255 6.6873
angles (deg): 90.00 90.00 90.00
Closest atoms and distances in Å follow each position.
Space group Cmcm (No. 63)
Asymmetric unit:
Pr 0.0000 0.1520 0.2500 x4  1 Dy 3.10, 4 Th 3.40
Dy 0.0000 0.3480 0.2500 x4  1 Pr 3.10, 4 Th 3.35
Ho 0.0000 0.2860 0.7500 x4  2 Dy 3.48, 2 Pr 3.49
Th 0.2436 0.5000 0.0000 x8  4 Th 3.26-3.43, 2 Dy 3.35, 2 Pr 3.40

For the calculated density, the calculation gives 8.75 Mg/m³. The value obtained for the total moment is 0.0 μB/cell. As for the energy relative to the elements: 422.2 meV/atom. The density of states at the Fermi level is 29.11 states/eV/cell.


# 8
DFT (PBE-GGA) results for a geometry-optimized NdErZnTc structure.

a b c (Å): 7.0520 7.0520 7.0520
angles (deg): 90.00 90.00 90.00
Closest atoms and distances in Å follow each position.
Space group F-43m (No. 216)
Asymmetric unit:
Nd 0.0000 0.0000 0.0000 x4  4 Tc 3.05, 4 Zn 3.05
Er 0.0000 0.0000 0.5000 x4  4 Tc 3.05, 4 Zn 3.05
Zn 0.2500 0.2500 0.7500 x4  4 Er 3.05, 4 Nd 3.05
Tc 0.2500 0.2500 0.2500 x4  4 Er 3.05, 4 Nd 3.05

For the calculated density, the calculation gives 8.99 Mg/m³. The value obtained for the total moment is 0.0 μB/cell. As for the energy relative to the elements: -83.6 meV/atom. The density of states at the Fermi level is 7.31 states/eV/cell.


# 9
DFT (PBE-GGA) results for a geometry-optimized Ac2PdSe structure.

a b c (Å): 3.8225 3.8225 7.8045
angles (deg): 90.00 90.00 90.00
Closest atoms and distances in Å follow each position.
Space group P4/mmm (No. 123)
Asymmetric unit:
Ac 0.0000 0.0000 0.2414 x2  4 Pd 3.29, 4 Se 3.37
Pd 0.5000 0.5000 0.0000 x1  8 Ac 3.29
Se 0.5000 0.5000 0.5000 x1  8 Ac 3.37

For the calculated density, the calculation gives 9.31 Mg/m³. The value obtained for the total moment is 0.0 μB/cell. For the energy above the most stable polymorph in this dataset, the calculation gives 192 meV per atom. The density of states at the Fermi level is 3.86 states/eV/cell. The calculation puts the uncorrected formation energy at -427 kJ/mol of formula units.


# 10
DFT (PBE-GGA) results for a geometry-optimized BaGe4Au4 structure.

a b c (Å): 6.7402 6.7402 8.8630
angles (deg): 90.00 90.00 90.00
Closest atoms and distances in Å follow each position.
Space group P4_2/nmc (No. 137, origin choice 2)
Asymmetric unit:
Ba 0.2500 0.7500 0.2500 x2  12 Au 3.56-3.93, 12 Ge 3.70-3.92
Ge 0.0108 0.2500 0.1169 x8  5 Au 2.64-2.79
Au 0.0414 0.2500 0.4145 x8  5 Ge 2.64-2.79, 1 Au 2.81

For the calculated density, the calculation gives 10.03 Mg/m³. The value obtained for the total moment is 0.0 μB/cell. As for the energy relative to the elements: -259.3 meV/atom. The density of states at the Fermi level is 8.48 states/eV/cell.


# 11
DFT (PBE-GGA) results for a geometry-optimized HfSbCI2 structure.

a b c (Å): 4.8635 4.8635 4.8564
angles (deg): 90.00 90.00 90.00
Closest atoms and distances in Å follow each position.
Space group P4/mmm (No. 123)
Asymmetric unit:
Hf 0.0000 0.0000 0.0000 x1  8 I 3.44, 4 Sb 3.44
Sb 0.5000 0.5000 0.0000 x1  2 C 2.43
C 0.5000 0.5000 0.5000 x1  2 Sb 2.43, 4 I 2.43
I 0.0000 0.5000 0.5000 x2  2 C 2.43

For the calculated density, the calculation gives 8.18 Mg/m³. The value obtained for the total moment is 0.4 μB/cell. For the energy above the most stable polymorph in this dataset, the calculation gives 0 meV per atom. The density of states at the Fermi level is 2.75 states/eV/cell. The calculation puts the uncorrected formation energy at 566 kJ/mol of formula units.


# 12
DFT (PBE-GGA) results for a geometry-optimized Sr2NbS4 structure.

a b c (Å): 7.0816 6.8039 8.2389
angles (deg): 90.00 107.41 90.00
Closest atoms and distances in Å follow each position.
Space group P2_1/m (No. 11)
Asymmetric unit:
Sr 0.2094 0.2500 0.0521 x2  6 S 3.03-3.10
Sr 0.2469 0.2500 0.5619 x2  6 S 3.02-3.13
Nb 0.2564 0.7500 0.8094 x2  4 S 2.31-2.37
S 0.0102 0.5016 0.7455 x4  1 Nb 2.37
S 0.4345 0.7500 0.0942 x2  1 Nb 2.31
S 0.4423 0.7500 0.6215 x2  1 Nb 2.31

For the calculated density, the calculation gives 3.48 Mg/m³. The value obtained for the total moment is 2.0 μB/cell. The density of states at the Fermi level is 5.98 states/eV/cell. The calculation puts the uncorrected formation energy at -1011 kJ/mol of formula units.


# 13
DFT (PBE-GGA) results for a geometry-optimized CsSm2Ho structure.

a b c (Å): 3.6837 3.6837 39.8092
angles (deg): 90.00 90.00 120.00
Closest atoms and distances in Å follow each position.
Space group R-3m (No. 166, hexagonal axes)
Asymmetric unit:
Cs 0.0000 0.0000 0.0000 x3  6 Cs 3.68, 2 Sm 3.82
Sm 0.0000 0.0000 0.0959 x6  3 Ho 3.53, 6 Sm 3.68, 1 Cs 3.82
Ho 0.0000 0.0000 0.5000 x3  6 Sm 3.53, 6 Ho 3.68

For the calculated density, the calculation gives 6.37 Mg/m³. The value obtained for the total moment is 0.0 μB/cell. As for the energy relative to the elements: 294.8 meV/atom. The density of states at the Fermi level is 12.13 states/eV/cell.


# 14
DFT (PBE-GGA) results for a geometry-optimized Cs3Nd3BiO8 structure.

a b c (Å): 7.2968 7.2968 21.1213
angles (deg): 90.00 90.00 120.00
Closest atoms and distances in Å follow each position.
Space group R-3m (No. 166, hexagonal axes)
Asymmetric unit:
Cs 0.0000 0.5000 0.0000 x9  6 O 3.14-3.17
Nd 0.0000 0.5000 0.5000 x9  6 O 2.40-2.44
Bi 0.0000 0.0000 0.5000 x3  6 O 2.32
O 0.0000 0.0000 0.2210 x6  3 Nd 2.40
O 0.0145 0.5073 0.2213 x18  1 Bi 2.32, 2 Nd 2.44

For the calculated density, the calculation gives 5.98 Mg/m³. The value obtained for the total moment is 0.0 μB/cell. The density of states at the Fermi level is 7.28 states/eV/cell. The calculation puts the uncorrected formation energy at -3244 kJ/mol of formula units.


# 15
DFT (PBE-GGA) results for a geometry-optimized CaBIBr2 structure.

a b c (Å): 5.3528 5.3528 12.6215
angles (deg): 90.00 90.00 90.00
Closest atoms and distances in Å follow each position.
Space group P4/mmm (No. 123)
Asymmetric unit:
Ca 0.0000 0.0000 0.0000 x1  4 Br 2.68
B 0.0000 0.0000 0.5000 x1  4 I 3.79
I 0.5000 0.5000 0.5000 x1  4 B 3.79
Br 0.0000 0.5000 0.0000 x2  2 Ca 2.68

For the calculated density, the calculation gives 1.55 Mg/m³. The value obtained for the total moment is 0.0 μB/cell. The density of states at the Fermi level is 0.00 states/eV/cell. The calculation puts the uncorrected formation energy at 51 kJ/mol of formula units.


# 16
DFT (PBE-GGA) results for a geometry-optimized AcZn2Ni structure.

a b c (Å): 15.5738 7.3423 5.6657
angles (deg): 90.00 90.00 90.00
Closest atoms and distances in Å follow each position.
Space group Pnma (No. 62)
Asymmetric unit:
Ac 0.1034 0.2500 0.2246 x4  2 Ni 2.90-3.08, 2 Zn 3.17
Ac 0.1361 0.7500 0.0352 x4  3 Ni 2.91-3.12
Zn 0.0462 0.0640 0.7040 x8  3 Ni 2.57-2.66, 2 Zn 2.73-2.82
Zn 0.2079 0.5571 0.5460 x8  3 Ni 2.58-2.63, 2 Zn 2.82-2.83
Ni 0.0700 0.7500 0.5153 x4  6 Zn 2.57-2.59
Ni 0.1907 0.2500 0.7715 x4  6 Zn 2.61-2.66, 1 Ac 2.90

For the calculated density, the calculation gives 8.54 Mg/m³. The value obtained for the total moment is 0.0 μB/cell. As for the energy relative to the elements: -308.7 meV/atom. The density of states at the Fermi level is 18.63 states/eV/cell.


# 17
DFT (PBE-GGA) results for a geometry-optimized VCoBi3 structure.

a b c (Å): 5.1094 5.1094 5.1094
angles (deg): 90.00 90.00 90.00
Closest atoms and distances in Å follow each position.
Space group Pm-3m (No. 221)
Asymmetric unit:
V 0.0000 0.0000 0.0000 x1  12 Bi 3.61
Co 0.5000 0.5000 0.5000 x1  6 Bi 2.55
Bi 0.0000 0.5000 0.5000 x3  2 Co 2.55

For the calculated density, the calculation gives 9.17 Mg/m³. The value obtained for the total moment is 4.2 μB/cell. For the energy above the most stable polymorph in this dataset, the calculation gives 0 meV per atom. As for the energy relative to the elements: 722.3 meV/atom. The density of states at the Fermi level is 5.16 states/eV/cell.


# 18
DFT (PBE-GGA) results for a geometry-optimized EuYSi4N7 structure.

a b c (Å): 6.0495 6.0495 9.8862
angles (deg): 90.00 90.00 120.00
Closest atoms and distances in Å follow each position.
Space group P6_3mc (No. 186)
Asymmetric unit:
Eu 0.3333 0.6667 0.0000 x2  12 N 2.90-3.17
Y 0.3333 0.6667 0.3655 x2  6 N 2.32
Si 0.0000 0.0000 0.4414 x2  4 N 1.71-1.88
Si 0.1737 0.3473 0.6744 x6  3 N 1.72-1.73
N 0.0000 0.0000 0.2509 x2  4 Si 1.88-1.97
N 0.0219 0.5110 0.7253 x6  2 Si 1.73
N 0.1529 0.3058 0.5017 x6  2 Si 1.71-1.72

For the calculated density, the calculation gives 4.78 Mg/m³. The value obtained for the total moment is 14.0 μB/cell. The calculation puts the uncorrected formation energy at -1560 kJ/mol of formula units.


# 19
DFT (PBE-GGA) results for a geometry-optimized PaAgS structure.

a b c (Å): 3.4869 3.4869 12.6364
angles (deg): 90.00 90.00 120.00
Closest atoms and distances in Å follow each position.
Space group P-6m2 (No. 187)
Asymmetric unit:
Pa 0.0000 0.0000 0.0000 x1  6 S 2.73
Pa 0.3333 0.6667 0.5000 x1  6 Ag 3.17, 6 Pa 3.49
Ag 0.0000 0.0000 0.3062 x2  3 S 2.86, 3 Pa 3.17
S 0.3333 0.6667 0.1453 x2  3 Pa 2.73, 3 Ag 2.86

For the calculated density, the calculation gives 9.26 Mg/m³. The value obtained for the total moment is 0.3 μB/cell. The density of states at the Fermi level is 6.01 states/eV/cell. The calculation puts the uncorrected formation energy at -124 kJ/mol of formula units.


# 20
DFT (PBE-GGA) results for a geometry-optimized CaDy4Ga5 structure.

a b c (Å): 3.5811 3.5811 18.0546
angles (deg): 90.00 90.00 90.00
Closest atoms and distances in Å follow each position.
Space group P4/mmm (No. 123)
Asymmetric unit:
Ca 0.0000 0.0000 0.0000 x1  8 Ga 3.17
Dy 0.0000 0.0000 0.2031 x2  8 Ga 3.08-3.11
Dy 0.0000 0.0000 0.4020 x2  8 Ga 3.09
Ga 0.5000 0.5000 0.1060 x2  4 Dy 3.08, 4 Ca 3.17
Ga 0.5000 0.5000 0.3035 x2  8 Dy 3.09-3.11
Ga 0.5000 0.5000 0.5000 x1  8 Dy 3.09

For the calculated density, the calculation gives 7.45 Mg/m³. The value obtained for the total moment is 0.0 μB/cell. As for the energy relative to the elements: -552.5 meV/atom. The density of states at the Fermi level is 4.34 states/eV/cell.